A PBEsol-optimized structure of Cu2ReIr. Source: Alexandria via LeMat-Bulk, functional SCAN.

abc: 2.6540 3.8165 5.1404
angles: 90.00 90.00 90.00
Last column: nearest neighbours and their distance in Å.
Fractional positions:
Cu  0.0000  0.0000  0.2484  4 Cu 2.55-2.65, 4 Re 2.65, 4 Ir 2.66
Cu  0.0000  0.0000  0.7516  4 Cu 2.55-2.65, 4 Re 2.65, 4 Ir 2.66
Re  0.5000  0.5000  0.0000  2 Ir 2.57, 8 Cu 2.65, 2 Re 2.65
Ir  0.5000  0.5000  0.5000  2 Re 2.57, 2 Ir 2.65, 8 Cu 2.66

Computed properties:
N(E_F) in states/eV/cell: 3.8
ΔH_f (0 K) in eV per atom: 0.3361
Final energy in eV/cell: -171.251
Relative energy among the computed polymorphs in kJ per mole of atoms: 18.18
V in Å³/atom: 13.02

=====

A PBEsol-optimized structure of Cu2ReIr. Source: Alexandria via LeMat-Bulk, functional SCAN.

abc: 4.2251 4.2251 2.8520
angles: 90.00 90.00 90.00
Last column: nearest neighbours and their distance in Å.
Fractional positions:
Cu  0.0000  0.5000  0.0000  4 Re 2.55, 4 Ir 2.55, 2 Cu 2.85
Cu  0.5000  0.0000  0.0000  4 Re 2.55, 4 Ir 2.55, 2 Cu 2.85
Re  0.0000  0.0000  0.5000  8 Cu 2.55, 2 Re 2.85
Ir  0.5000  0.5000  0.5000  8 Cu 2.55, 2 Ir 2.85

Computed properties:
N(E_F) in states/eV/cell: 2.8
ΔH_f (0 K) in eV per atom: 0.4447
Final energy in eV/cell: -170.816
Relative energy among the computed polymorphs in kJ per mole of atoms: 28.65
V in Å³/atom: 12.73

=====

A PBEsol-optimized structure of CuReIr2. Source: Alexandria via LeMat-Bulk, functional SCAN.

abc: 2.7492 2.7492 7.1965
angles: 90.00 90.00 90.00
Last column: nearest neighbours and their distance in Å.
Fractional positions:
Cu  0.0000  0.0000  0.0000  8 Ir 2.64, 4 Cu 2.75
Re  0.0000  0.0000  0.5000  8 Ir 2.66, 4 Re 2.75
Ir  0.5000  0.5000  0.2476  4 Cu 2.64, 4 Re 2.66, 4 Ir 2.75
Ir  0.5000  0.5000  0.7524  4 Cu 2.64, 4 Re 2.66, 4 Ir 2.75

Computed properties:
N(E_F) in states/eV/cell: 2.1
ΔH_f (0 K) in eV per atom: -0.1161
Final energy in eV/cell: -228.959
Relative energy among the computed polymorphs in kJ per mole of atoms: 0.00
V in Å³/atom: 13.60

=====

A PBEsol-optimized structure of Cu2IrRh. Source: Alexandria via LeMat-Bulk, functional SCAN.

abc: 4.5433 4.5433 4.4652
angles: 100.33 100.33 34.35
Last column: nearest neighbours and their distance in Å.
Fractional positions:
Cu  0.0000  0.0000  0.0000  5 Cu 2.52-2.68, 4 Rh 2.60-2.61, 3 Ir 2.67-2.73
Cu  0.7493  0.7493  0.2074  5 Cu 2.52-2.68, 4 Ir 2.60-2.61, 3 Rh 2.69-2.72
Ir  0.2498  0.2498  0.7085  3 Rh 2.53-2.56, 7 Cu 2.60-2.73, 2 Ir 2.68
Rh  0.5021  0.5021  0.5004  3 Ir 2.53-2.56, 7 Cu 2.60-2.72, 2 Rh 2.68

Computed properties:
N(E_F) in states/eV/cell: 3.7
ΔH_f (0 K) in eV per atom: 0.0666
Final energy in eV/cell: -135.003
Relative energy among the computed polymorphs in kJ per mole of atoms: 2.64
V in Å³/atom: 12.77

=====

A PBEsol-optimized structure of CuIr2Rh. Source: Alexandria via LeMat-Bulk, functional SCAN.

abc: 8.7121 8.7121 8.7121
angles: 17.72 17.72 17.72
Last column: nearest neighbours and their distance in Å.
Fractional positions:
Cu  0.0000  0.0000  0.0000  6 Ir 2.62, 6 Cu 2.68
Ir  0.2514  0.2514  0.2514  3 Cu 2.62, 3 Rh 2.67, 6 Ir 2.68
Ir  0.7486  0.7486  0.7486  3 Cu 2.62, 3 Rh 2.67, 6 Ir 2.68
Rh  0.5000  0.5000  0.5000  6 Ir 2.67, 6 Rh 2.68

Computed properties:
N(E_F) in states/eV/cell: 3.3
ΔH_f (0 K) in eV per atom: 0.0224
Final energy in eV/cell: -191.079
Relative energy among the computed polymorphs in kJ per mole of atoms: 0.72
V in Å³/atom: 13.37

=====

A PBEsol-optimized structure of Cu2IrRh. Source: Alexandria via LeMat-Bulk, functional SCAN.

abc: 4.4782 4.4782 4.5925
angles: 99.73 99.73 34.28
Last column: nearest neighbours and their distance in Å.
Fractional positions:
Cu  0.2494  0.2494  0.2497  3 Rh 2.60-2.61, 3 Ir 2.60, 6 Cu 2.64-2.65
Cu  0.7506  0.7506  0.7503  3 Rh 2.60-2.61, 3 Ir 2.60, 6 Cu 2.64-2.65
Ir  0.5000  0.5000  0.0000  6 Cu 2.60, 2 Ir 2.64, 4 Rh 2.65
Rh  0.0000  0.0000  0.5000  6 Cu 2.60-2.61, 2 Rh 2.64, 4 Ir 2.65

Computed properties:
N(E_F) in states/eV/cell: 4.7
ΔH_f (0 K) in eV per atom: 0.0690
Final energy in eV/cell: -134.993
Relative energy among the computed polymorphs in kJ per mole of atoms: 2.88
V in Å³/atom: 12.76

=====

What is the formula in the first record? Cu2ReIr

=====

Which of these has the highest final energy? number 6

=====

Look up the ΔH_f (0 K) of the first one. 0.3361 eV per atom

=====

Which of these has the lowest ΔH_f (0 K)? CuReIr2